Material: SrRe3Pb
Method: DFT, PBE-GGA
State: optimized geometry

Summary:
DFT formation energy in kJ per mole of atoms: 249.5
Distance to the lowest polymorph of the same formula in meV per atom: 0
Mass density in g cm⁻³: 10.7

Cell: 5.0959 5.0959 5.0959 Å, 90.00 90.00 90.00°
Space group Pm-3m (No. 221)
Asymmetric unit:
1 Sr 0.0000 0.0000 0.0000 [1 per cell]
2 Re 0.0000 0.5000 0.5000 [3 per cell]
3 Pb 0.5000 0.5000 0.5000 [1 per cell]